No. 1
A relaxed structure of BiSbTe2H. Source: Alexandria, functional GGA-PBE.

## Properties
Total energy = -2.46 eV/atom
N(E_F) = 1.3703 states/eV/atom

The structure in POSCAR format:
```
BiSbTe2H
1.0
6.0704 0.0000 0.0000
0.0000 6.0704 0.0000
0.0000 0.0000 5.9541
Sb Te Bi H
1 2 1 1
direct
0.0000 0.0000 0.5000
0.0000 0.5000 0.0000
0.5000 0.0000 0.0000
0.0000 0.0000 0.0000
0.5000 0.5000 0.5000
```

No. 2
A relaxed structure of Sc2AsI2. Source: Alexandria, functional GGA-PBE.

## Properties
Energy relative to the elements, uncorrected = -6.61 eV per formula unit
Total energy = -5.40 eV/atom
N(E_F) = 0.3481 states/eV/atom

The structure in POSCAR format:
```
Sc2AsI2
1.0
-3.6653 1.5516 -0.2505
-1.9949 -0.1441 -3.4503
-6.1233 -9.0791 1.6147
Sc As I
2 1 2
direct
0.6225 0.6225 0.1324
0.3775 0.3775 0.8676
0.0000 0.0000 0.0000
0.2303 0.2303 0.3090
0.7697 0.7697 0.6910
```

No. 3
A relaxed structure of TbHoNbN3. Source: Alexandria, functional GGA-PBE.

## Properties
Energy relative to the elements, uncorrected = -8.56 eV per formula unit
Total energy = -8.80 eV/atom
N(E_F) = 0.4126 states/eV/atom

The structure in POSCAR format:
```
TbHoNbN3
1.0
3.3389 0.0000 0.0000
0.0000 5.7549 0.2498
0.0000 -2.3018 8.3099
Tb Ho Nb N
2 2 2 6
direct
0.7500 0.6534 0.6879
0.2500 0.3466 0.3121
0.2500 0.7700 0.0482
0.7500 0.2300 0.9518
0.2500 0.1358 0.6342
0.7500 0.8642 0.3658
0.2500 0.7496 0.4875
0.7500 0.0461 0.1703
0.7500 0.5597 0.1798
0.7500 0.2504 0.5125
0.2500 0.4403 0.8202
0.2500 0.9539 0.8297
```

No. 4
A relaxed structure of FeRhSe. Source: Alexandria, functional GGA-PBE.

## Properties
Energy relative to the elements, uncorrected = 0.32 eV per formula unit
Total energy = -6.33 eV/atom
N(E_F) = 0.7405 states/eV/atom

The structure in POSCAR format:
```
FeRhSe
1.0
-3.2740 0.2181 -3.9248
-1.5896 -2.2991 -4.2847
-2.4114 -1.7185 0.7311
Fe Rh Se
1 1 1
direct
0.0097 0.0097 0.9903
0.3338 0.3338 0.6662
0.6565 0.6565 0.3435
```

Q: Number 4 is which compound?
A: FeRhSe